DyCoNiP2 after structural relaxation. Source: OQMD, functional PBE.

space-group type	No. 119
electronic total energy	-0.486	Ry/atom
V	13.83	A^3/atom

Cell: 3.8456 3.8456 9.3540 Å, 90.00 90.00 90.00°
Closest atoms and distances in Å follow each position.
Atoms (fractional coordinates):
Dy 0.0000 0.0000 0.0000  8 P 2.96, 4 Co 3.03, 4 Ni 3.03
Dy 0.5000 0.5000 0.5000  8 P 2.96, 4 Co 3.03, 4 Ni 3.03
Co 0.0000 0.5000 0.2500  4 P 2.25
Co 0.5000 0.0000 0.7500  4 P 2.25
Ni 0.0000 0.5000 0.7500  4 P 2.25
Ni 0.5000 0.0000 0.2500  4 P 2.25
P 0.0000 0.0000 0.3754  2 Co 2.25, 2 Ni 2.25, 1 P 2.33
P 0.0000 0.0000 0.6246  2 Co 2.25, 2 Ni 2.25, 1 P 2.33
P 0.5000 0.5000 0.1246  2 Co 2.25, 2 Ni 2.25, 1 P 2.33
P 0.5000 0.5000 0.8754  2 Co 2.25, 2 Ni 2.25, 1 P 2.33